Entry 1:
# Li3As4, optimized geometry, DFT GGA-PBE
# - formation energy from the elements (eV per atom) = -0.1187
# - magnetic moment (Bohr magnetons per cell) = 0.00
# - ΔE to the lowest computed polymorph (meV per atom) = 109
data_Li3As4
_chemical_formula_sum 'Li3 As4'
_space_group_name_H-M_alt 'P 6/m m m'
_space_group_IT_number 191
_space_group_name_Hall '-P 6 2'
_cell_length_a 5.2916
_cell_length_b 5.2916
_cell_length_c 5.0571
_cell_angle_alpha 90.00
_cell_angle_beta 90.00
_cell_angle_gamma 120.00
loop_
_atom_site_label
_atom_site_type_symbol
_atom_site_fract_x
_atom_site_fract_y
_atom_site_fract_z
Li1 Li 0.0000 0.5000 0.0000
As1 As 0.0000 0.0000 0.2309
As2 As 0.3333 0.6667 0.5000


Entry 2:
# PmGa6Cu4, optimized geometry, DFT GGA-PBE
# - formation energy from the elements (eV per atom) = -0.2575
# - magnetic moment (Bohr magnetons per cell) = 0.00
data_PmGa6Cu4
_chemical_formula_sum 'Pm1 Ga6 Cu4'
_space_group_name_H-M_alt 'P -6 m 2'
_space_group_IT_number 187
_space_group_name_Hall 'P -6 2'
_cell_length_a 7.1119
_cell_length_b 7.1119
_cell_length_c 4.0886
_cell_angle_alpha 90.00
_cell_angle_beta 90.00
_cell_angle_gamma 120.00
loop_
_atom_site_label
_atom_site_type_symbol
_atom_site_fract_x
_atom_site_fract_y
_atom_site_fract_z
Pm1 Pm 0.0000 0.0000 0.0000
Ga1 Ga 0.1981 0.3961 0.5000
Ga2 Ga 0.5353 0.0706 0.0000
Cu1 Cu 0.3333 0.6667 0.0000
Cu2 Cu 0.4201 0.2100 0.5000


Entry 3:
# Sb3MoIr, optimized geometry, DFT GGA-PBE
# - energy relative to the elements, uncorrected (eV per atom) = 1.079
# - magnetic moment (Bohr magnetons per cell) = 3.22
# - ΔE to the lowest computed polymorph (meV per atom) = 0
data_Sb3MoIr
_chemical_formula_sum 'Sb3 Mo1 Ir1'
_space_group_name_H-M_alt 'P m -3 m'
_space_group_IT_number 221
_space_group_name_Hall '-P 4 2 3'
_cell_length_a 5.160
_cell_length_b 5.160
_cell_length_c 5.160
_cell_angle_alpha 90.00
_cell_angle_beta 90.00
_cell_angle_gamma 90.00
loop_
_atom_site_label
_atom_site_type_symbol
_atom_site_fract_x
_atom_site_fract_y
_atom_site_fract_z
Sb1 Sb 0.000 0.000 0.500
Mo1 Mo 0.500 0.500 0.500
Ir1 Ir 0.000 0.000 0.000


Entry 4:
# Sc2TiAgSe, optimized geometry, DFT GGA-PBE
# - energy relative to the elements, uncorrected (eV per atom) = 0.669
# - magnetic moment (Bohr magnetons per cell) = 3.72
data_Sc2TiAgSe
_chemical_formula_sum 'Sc2 Ti1 Ag1 Se1'
_space_group_name_H-M_alt 'P 4/m m m'
_space_group_IT_number 123
_space_group_name_Hall '-P 4 2'
_cell_length_a 5.189
_cell_length_b 5.189
_cell_length_c 4.992
_cell_angle_alpha 90.00
_cell_angle_beta 90.00
_cell_angle_gamma 90.00
loop_
_atom_site_label
_atom_site_type_symbol
_atom_site_fract_x
_atom_site_fract_y
_atom_site_fract_z
Sc1 Sc 0.000 0.500 0.000
Ti1 Ti 0.000 0.000 0.500
Ag1 Ag 0.500 0.500 0.000
Se1 Se 0.500 0.500 0.500